# 1
PaGa6Ni4: optimized geometry, PBE.

Values from the calculation:
D(E_F): 6.9 states/eV/cell
ΔE_f: -0.40 eV/atom

Lattice parameters (Å, degrees): 6.9573 6.9573 3.9077 90.00 90.00 120.00
Space group P-6m2 (No. 187)
Unique sites:
1 Pa 0.0000 0.0000 0.0000 [1 per cell]
2 Ga 0.1978 0.3957 0.5000 [3 per cell]
3 Ga 0.5340 0.0679 0.0000 [3 per cell]
4 Ni 0.3333 0.6667 0.0000 [1 per cell]
5 Ni 0.4105 0.2053 0.5000 [3 per cell]

# 2
Ac3DyEr3Se8: optimized geometry, PBE.

Values from the calculation:
D(E_F): 21.7 states/eV/cell
formation energy without anion corrections: -1840 meV/atom

Lattice parameters (Å, degrees): 8.3093 8.3093 21.4387 90.00 90.00 120.00
Space group R-3m (No. 166, hexagonal axes)
Unique sites:
1 Ac 0.0000 0.5000 0.0000 [9 per cell]
2 Dy 0.0000 0.0000 0.5000 [3 per cell]
3 Er 0.0000 0.5000 0.5000 [9 per cell]
4 Se 0.0000 0.0000 0.2393 [6 per cell]
5 Se 0.0077 0.5039 0.7586 [18 per cell]

# 3
Ti5In2: optimized geometry, PBE.

Values from the calculation:
D(E_F): 29.2 states/eV/cell
ΔE_f: 0.03 eV/atom

Lattice parameters (Å, degrees): 4.7149 4.7149 20.5053 90.00 90.00 120.00
Space group R-3m (No. 166, hexagonal axes)
Unique sites:
1 Ti 0.0000 0.0000 0.0000 [3 per cell]
2 Ti 0.0000 0.0000 0.2918 [6 per cell]
3 Ti 0.0000 0.0000 0.4204 [6 per cell]
4 In 0.0000 0.0000 0.1381 [6 per cell]

# 4
SmTc2C3: optimized geometry, PBE.

Values from the calculation:
D(E_F): 13.7 states/eV/cell
ΔE_f: 0.18 eV/atom

Lattice parameters (Å, degrees): 7.2515 9.2561 5.3163 90.00 90.00 90.00
Space group Cmcm (No. 63)
Unique sites:
1 Sm 0.0000 0.2128 0.2500 [4 per cell]
2 Tc 0.1949 0.5000 0.0000 [8 per cell]
3 C 0.0000 0.4320 0.7500 [4 per cell]
4 C 0.0952 0.0566 0.7500 [8 per cell]

# 5
PaIn2AgTe4: optimized geometry, PBE.

Values from the calculation:
D(E_F): 2.4 states/eV/cell
formation energy without anion corrections: -398 meV/atom

Lattice parameters (Å, degrees): 7.2787 4.4147 8.4793 90.00 107.90 90.00
Space group P2/m (No. 10)
Unique sites:
1 Pa 0.0000 0.0000 0.0000 [1 per cell]
2 In 0.0000 0.5000 0.5000 [1 per cell]
3 In 0.5000 0.0000 0.5000 [1 per cell]
4 Ag 0.5000 0.5000 0.0000 [1 per cell]
5 Te 0.2337 0.5000 0.2234 [2 per cell]
6 Te 0.2533 0.0000 0.7819 [2 per cell]

# 6
Cu7Ir: optimized geometry, PBE.

Values from the calculation:
D(E_F): 29.0 states/eV/cell
ΔE_f: 0.03 eV/atom

Lattice parameters (Å, degrees): 7.3403 7.3403 7.3403 90.00 90.00 90.00
Space group Fm-3m (No. 225)
Unique sites:
1 Cu 0.0000 0.0000 0.0000 [4 per cell]
2 Cu 0.0000 0.2500 0.2500 [24 per cell]
3 Ir 0.0000 0.0000 0.5000 [4 per cell]

# 7
Cs3K8Au2: optimized geometry, PBE.

Values from the calculation:
D(E_F): 10.3 states/eV/cell
ΔE_f: -0.09 eV/atom

Lattice parameters (Å, degrees): 11.9616 5.0197 14.8558 90.00 104.04 90.00
Space group P2/m (No. 10)
Unique sites:
1 Cs 0.0000 0.0000 0.0000 [1 per cell]
2 Cs 0.3083 0.5000 0.8879 [2 per cell]
3 K 0.1655 0.0000 0.5954 [2 per cell]
4 K 0.1678 0.5000 0.3510 [2 per cell]
5 K 0.3590 0.0000 0.1993 [2 per cell]
6 K 0.4485 0.5000 0.6052 [2 per cell]
7 Au 0.3770 0.0000 0.4460 [2 per cell]

# 8
V2Te4Cl: optimized geometry, PBE.

Values from the calculation:
D(E_F): 23.2 states/eV/cell
formation energy without anion corrections: -181 meV/atom

Lattice parameters (Å, degrees): 12.5031 9.6759 8.7192 90.00 133.49 90.00
Space group C2 (No. 5)
Unique sites:
1 V 0.0322 0.0000 0.2813 [4 per cell]
2 V 0.2503 0.2516 0.7187 [4 per cell]
3 Te 0.0091 0.2784 0.6870 [4 per cell]
4 Te 0.0126 0.7225 0.8342 [4 per cell]
5 Te 0.1802 0.0232 0.1629 [4 per cell]
6 Te 0.1797 0.9785 0.6926 [4 per cell]
7 Cl 0.0000 0.3655 0.0000 [2 per cell]
8 Cl 0.0000 0.6371 0.5000 [2 per cell]

# 9
YCrCo2: optimized geometry, PBE.

Values from the calculation:
D(E_F): 19.7 states/eV/cell
ΔE_f: 0.50 eV/atom

Lattice parameters (Å, degrees): 4.4933 4.4933 14.5663 90.00 90.00 90.00
Space group I-42d (No. 122)
Unique sites:
1 Y 0.0000 0.0000 0.0000 [4 per cell]
2 Cr 0.0000 0.0000 0.5000 [4 per cell]
3 Co 0.0556 0.2500 0.6250 [8 per cell]

# 10
Rb2SrSn2Te4: optimized geometry, PBE.

Values from the calculation:
formation energy without anion corrections: -883 meV/atom

Lattice parameters (Å, degrees): 19.0608 4.5238 9.4537 90.00 117.72 90.00
Space group C2/m (No. 12)
Unique sites:
1 Rb 0.1175 0.0000 0.0499 [4 per cell]
2 Sr 0.0000 0.0000 0.5000 [2 per cell]
3 Sn 0.1995 0.5000 0.5475 [4 per cell]
4 Te 0.0412 0.5000 0.2847 [4 per cell]
5 Te 0.1935 0.0000 0.7542 [4 per cell]

# 11
Cs3Y3HfTe8: optimized geometry, PBE.

Values from the calculation:
formation energy without anion corrections: -1284 meV/atom

Lattice parameters (Å, degrees): 8.8348 8.8348 27.4255 90.00 90.00 120.00
Space group R-3m (No. 166, hexagonal axes)
Unique sites:
1 Cs 0.0000 0.5000 0.0000 [9 per cell]
2 Y 0.0000 0.5000 0.5000 [9 per cell]
3 Hf 0.0000 0.0000 0.5000 [3 per cell]
4 Te 0.0000 0.0000 0.2303 [6 per cell]
5 Te 0.0158 0.5079 0.2279 [18 per cell]

# 12
CaSbS2Cl: optimized geometry, PBE.

Values from the calculation:
D(E_F): 0.5 states/eV/cell
formation energy without anion corrections: -696 meV/atom

Lattice parameters (Å, degrees): 5.1976 5.1976 5.1306 90.00 90.00 90.00
Space group P4/mmm (No. 123)
Unique sites:
1 Ca 0.0000 0.0000 0.0000 [1 per cell]
2 Sb 0.5000 0.5000 0.5000 [1 per cell]
3 S 0.0000 0.5000 0.5000 [2 per cell]
4 Cl 0.5000 0.5000 0.0000 [1 per cell]

# 13
Al2CrTe: optimized geometry, PBE.

Values from the calculation:
D(E_F): 7.4 states/eV/cell
formation energy without anion corrections: 305 meV/atom

Lattice parameters (Å, degrees): 3.0672 3.0672 27.5458 90.00 90.00 120.00
Space group R-3m (No. 166, hexagonal axes)
Unique sites:
1 Al 0.0000 0.0000 0.2341 [6 per cell]
2 Cr 0.0000 0.0000 0.5000 [3 per cell]
3 Te 0.0000 0.0000 0.0000 [3 per cell]

# 14
Zr6CdIn: optimized geometry, PBE.

Values from the calculation:
D(E_F): 7.0 states/eV/cell
ΔE_f: -0.17 eV/atom

Lattice parameters (Å, degrees): 4.4725 4.4725 8.9233 90.00 90.00 90.00
Space group P4/mmm (No. 123)
Unique sites:
1 Zr 0.0000 0.0000 0.0000 [1 per cell]
2 Zr 0.0000 0.0000 0.5000 [1 per cell]
3 Zr 0.0000 0.5000 0.2499 [4 per cell]
4 Cd 0.5000 0.5000 0.0000 [1 per cell]
5 In 0.5000 0.5000 0.5000 [1 per cell]

# 15
VGaFeCo: optimized geometry, PBE.

Values from the calculation:
D(E_F): 10.9 states/eV/cell
ΔE_f: -0.26 eV/atom

Lattice parameters (Å, degrees): 5.7056 5.7056 5.7056 90.00 90.00 90.00
Space group F-43m (No. 216)
Unique sites:
1 V 0.0000 0.0000 0.0000 [4 per cell]
2 Ga 0.0000 0.0000 0.5000 [4 per cell]
3 Fe 0.2500 0.2500 0.2500 [4 per cell]
4 Co 0.2500 0.2500 0.7500 [4 per cell]

# 16
LiTi2ZnN: optimized geometry, PBE.

Values from the calculation:
D(E_F): 3.6 states/eV/cell
formation energy without anion corrections: -679 meV/atom

Lattice parameters (Å, degrees): 4.0875 4.0875 3.9619 90.00 90.00 90.00
Space group P4/mmm (No. 123)
Unique sites:
1 Li 0.0000 0.0000 0.0000 [1 per cell]
2 Ti 0.0000 0.5000 0.5000 [2 per cell]
3 Zn 0.5000 0.5000 0.0000 [1 per cell]
4 N 0.0000 0.0000 0.5000 [1 per cell]

# 17
Ce2TlAg5: optimized geometry, PBE.

Values from the calculation:
D(E_F): 71.5 states/eV/cell
ΔE_f: -0.06 eV/atom

Lattice parameters (Å, degrees): 4.4849 17.1627 10.0074 90.00 90.00 90.00
Space group Cmcm (No. 63)
Unique sites:
1 Ce 0.0000 0.0000 0.0000 [4 per cell]
2 Ce 0.0000 0.1954 0.2500 [4 per cell]
3 Tl 0.0000 0.4550 0.7500 [4 per cell]
4 Ag 0.0000 0.1934 0.6091 [8 per cell]
5 Ag 0.0000 0.3548 0.5271 [8 per cell]
6 Ag 0.0000 0.3836 0.2500 [4 per cell]

# 18
ErTmThTi: optimized geometry, PBE.

Values from the calculation:
D(E_F): 27.4 states/eV/cell
ΔE_f: 0.21 eV/atom

Lattice parameters (Å, degrees): 7.5979 7.5979 7.5979 90.00 90.00 90.00
Space group F-43m (No. 216)
Unique sites:
1 Er 0.0000 0.0000 0.0000 [4 per cell]
2 Tm 0.2500 0.2500 0.2500 [4 per cell]
3 Th 0.0000 0.0000 0.5000 [4 per cell]
4 Ti 0.2500 0.2500 0.7500 [4 per cell]

# 19
P4IrRu: optimized geometry, PBE.

Values from the calculation:
D(E_F): 13.3 states/eV/cell
ΔE_f: 0.83 eV/atom

Lattice parameters (Å, degrees): 6.9171 6.9171 6.9171 90.00 90.00 90.00
Space group F-43m (No. 216)
Unique sites:
1 P 0.1249 0.1249 0.1249 [16 per cell]
2 Ir 0.0000 0.0000 0.5000 [4 per cell]
3 Ru 0.2500 0.2500 0.7500 [4 per cell]

# 20
Re2PRu: optimized geometry, PBE.

Values from the calculation:
D(E_F): 5.2 states/eV/cell
ΔE_f: 0.47 eV/atom

Lattice parameters (Å, degrees): 3.6438 3.6438 4.3105 90.00 90.00 90.00
Space group P4/mmm (No. 123)
Unique sites:
1 Re 0.0000 0.5000 0.0000 [2 per cell]
2 P 0.0000 0.0000 0.5000 [1 per cell]
3 Ru 0.5000 0.5000 0.5000 [1 per cell]

# 21
KCoPtCl2: optimized geometry, PBE.

Values from the calculation:
D(E_F): 9.9 states/eV/cell
formation energy without anion corrections: 316 meV/atom

Lattice parameters (Å, degrees): 4.5517 4.5517 7.3102 90.00 90.00 90.00
Space group P4/mmm (No. 123)
Unique sites:
1 K 0.0000 0.0000 0.0000 [1 per cell]
2 Co 0.0000 0.0000 0.5000 [1 per cell]
3 Pt 0.5000 0.5000 0.0000 [1 per cell]
4 Cl 0.0000 0.5000 0.5000 [2 per cell]

# 22
Nd2PaSb: optimized geometry, PBE.

Values from the calculation:
D(E_F): 5.2 states/eV/cell
formation energy without anion corrections: -270 meV/atom

Lattice parameters (Å, degrees): 3.9741 3.9741 7.3789 90.00 90.00 90.00
Space group P4/mmm (No. 123)
Unique sites:
1 Nd 0.0000 0.0000 0.2288 [2 per cell]
2 Pa 0.5000 0.5000 0.5000 [1 per cell]
3 Sb 0.5000 0.5000 0.0000 [1 per cell]

# 23
Co2OsRh: optimized geometry, PBE.

Values from the calculation:
D(E_F): 14.2 states/eV/cell
ΔE_f: 0.27 eV/atom

Lattice parameters (Å, degrees): 2.7281 4.2939 8.6500 90.00 90.00 90.00
Space group Imm2 (No. 44)
Unique sites:
1 Co 0.0000 0.0000 0.0000 [2 per cell]
2 Co 0.0000 0.5000 0.2810 [2 per cell]
3 Os 0.0000 0.5000 0.7449 [2 per cell]
4 Rh 0.0000 0.0000 0.5231 [2 per cell]

# 24
AcErPSe: optimized geometry, PBE.

Values from the calculation:
D(E_F): 6.8 states/eV/cell
formation energy without anion corrections: -1611 meV/atom

Lattice parameters (Å, degrees): 4.1213 4.1213 22.2429 90.00 90.00 120.00
Space group R3m (No. 160, hexagonal axes)
Unique sites:
1 Ac 0.0000 0.0000 0.0000 [3 per cell]
2 Er 0.0000 0.0000 0.1844 [3 per cell]
3 P 0.0000 0.0000 0.5841 [3 per cell]
4 Se 0.0000 0.0000 0.4323 [3 per cell]